Record 1
TlReTe2N after structural relaxation. Source: the Alexandria database, functional GGA-PBEsol.

Calculated values
SG: P4/mmm, No. 123
Energy relative to the elements, uncorrected in eV/atom: 0.17

Cell: 5.5019 5.5019 3.7319 Å, 90.00 90.00 90.00°
Fractional coordinates of all 5 atoms:
1 Tl 0.0000 0.0000 0.0000
2 Re 0.5000 0.5000 0.5000
3 Te 0.0000 0.5000 0.5000
4 Te 0.5000 0.0000 0.5000
5 N 0.5000 0.5000 0.0000

Record 2
Cu3Ni after structural relaxation. Source: the Alexandria database, functional GGA-PBEsol.

Calculated values
Energy of formation from the pure elements in meV/atom: 11.0
SG: Pnma, No. 62

Cell: 4.3198 8.1725 4.9760 Å, 90.00 90.00 90.00°
Fractional coordinates of all 16 atoms:
1 Cu 0.0810 0.2500 0.1243
2 Cu 0.2477 0.5007 0.3750
3 Cu 0.2477 0.9993 0.3750
4 Cu 0.2523 0.0007 0.8750
5 Cu 0.2523 0.4993 0.8750
6 Cu 0.4190 0.7500 0.6243
7 Cu 0.5810 0.2500 0.3757
8 Cu 0.7477 0.5007 0.1250
9 Cu 0.7477 0.9993 0.1250
10 Cu 0.7523 0.0007 0.6250
11 Cu 0.7523 0.4993 0.6250
12 Cu 0.9190 0.7500 0.8757
13 Ni 0.0812 0.2500 0.6275
14 Ni 0.4188 0.7500 0.1275
15 Ni 0.5812 0.2500 0.8725
16 Ni 0.9188 0.7500 0.3725

Repeat the first record exactly.
TlReTe2N after structural relaxation. Source: the Alexandria database, functional GGA-PBEsol.

Calculated values
SG: P4/mmm, No. 123
Energy relative to the elements, uncorrected in eV/atom: 0.17

Cell: 5.5019 5.5019 3.7319 Å, 90.00 90.00 90.00°
Fractional coordinates of all 5 atoms:
1 Tl 0.0000 0.0000 0.0000
2 Re 0.5000 0.5000 0.5000
3 Te 0.0000 0.5000 0.5000
4 Te 0.5000 0.0000 0.5000
5 N 0.5000 0.5000 0.0000